# Ni2AgSb (PBE, relaxed)
# V in Å³/f.u.: 67
# Uncorrected formation energy in meV per atom: 266
data_Ni2AgSb
_cell_length_a 6.985
_cell_length_b 6.985
_cell_length_c 5.459
_cell_angle_alpha 90.00
_cell_angle_beta 90.00
_cell_angle_gamma 90.00
_symmetry_space_group_name_H-M 'I -4 2 d'
_symmetry_Int_Tables_number 122
_symmetry_space_group_name_Hall 'I -4 2bw'
loop_
_atom_site_label
_atom_site_fract_x
_atom_site_fract_y
_atom_site_fract_z
Ni1 0.235 0.250 0.125
Ag1 0.000 0.000 0.500
Sb1 0.000 0.000 0.000